# GaCuSbI2

A relaxed GaCuSbI2 crystal (PBE-GGA, Alexandria).

Calculated values
- Space-group type: P4/mmm (123)
- Offset from the most stable computed form: 0.000 eV per atom
- Calculated volume: 159.4 Å³ per cell

Unit cell a=5.6705 b=5.6705 c=4.9583 alpha=90.00 beta=90.00 gamma=90.00
Positions (direct):
Ga 0.0000 0.0000 0.0000
Cu 0.5000 0.5000 0.5000
Sb 0.5000 0.5000 0.0000
I 0.0000 0.5000 0.5000
I 0.5000 0.0000 0.5000